The following is a DFT calculation (PBE-GGA) of Y2AlIn after structural relaxation.

The value obtained for the formation energy from the elements is -1.76 eV/f.u. For the total DFT energy (no corrections), the calculation gives -5.29 eV/atom. The crystal system is tetragonal.

The structure belongs to space group P4/mmm (No. 123); the cell edges are 5.220, 5.220 and 3.697 Å and the angles 90.00°, 90.00° and 90.00°. Symmetry generates all atoms from Y at (0.000, 0.500, 0.000), Al at (0.000, 0.000, 0.500) and In at (0.500, 0.500, 0.500).


The following is a DFT calculation (PBE-GGA) of YPu4Se5 after structural relaxation.

For the total DFT energy (no corrections), the calculation gives -9.71 eV/atom. The crystal system is orthorhombic.

The structure belongs to space group Immm (No. 71); the cell edges are 4.139, 5.854 and 20.669 Å and the angles 90.00°, 90.00° and 90.00°. Symmetry generates all atoms from Y at (0.000, 0.000, 0.000), Pu at (0.000, 0.000, 0.199), Pu at (0.000, 0.000, 0.401), Se at (0.000, 0.500, 0.000), Se at (0.000, 0.500, 0.200) and Se at (0.000, 0.500, 0.401).


The following is a DFT calculation (PBE-GGA) of Mn3GeB after structural relaxation.

The value obtained for the formation energy from the elements is -0.17 eV/f.u. For the total DFT energy (no corrections), the calculation gives -7.79 eV/atom. The crystal system is hexagonal.

The structure belongs to space group P6_3/mmc (No. 194); the cell edges are 5.6862, 5.6862 and 4.2577 Å and the angles 90.00°, 90.00° and 120.00°. Symmetry generates all atoms from Mn at (0.1778, 0.3556, 0.2500), Ge at (0.3333, 0.6667, 0.7500) and B at (0.0000, 0.0000, 0.0000).


The following is a DFT calculation (PBE-GGA) of BaNi2Ir after structural relaxation.

The value obtained for the formation energy from the elements is 0.92 eV/f.u. For the total DFT energy (no corrections), the calculation gives -5.36 eV/atom. The crystal system is tetragonal.

The structure belongs to space group I4_1/amd (No. 141, origin choice 2); the cell edges are 4.870, 4.870 and 16.131 Å and the angles 90.00°, 90.00° and 90.00°. Symmetry generates all atoms from Ba at (0.000, 0.250, 0.375), Ni at (0.000, 0.000, 0.000) and Ir at (0.000, 0.250, 0.875).


The following is a DFT calculation (PBE-GGA) of PmGeBi2 after structural relaxation.

The value obtained for the formation energy from the elements is -1.25 eV/f.u. For the total DFT energy (no corrections), the calculation gives -4.59 eV/atom. The crystal system is tetragonal.

The structure belongs to space group P4/mmm (No. 123); the cell edges are 4.256, 4.256 and 6.295 Å and the angles 90.00°, 90.00° and 90.00°. Symmetry generates all atoms from Pm at (0.000, 0.000, 0.000), Ge at (0.000, 0.000, 0.500) and Bi at (0.500, 0.500, 0.253).


The following is a DFT calculation (PBE-GGA) of InSbPt3 after structural relaxation.

For the total DFT energy (no corrections), the calculation gives -4.44 eV/atom. The crystal system is cubic.

The structure belongs to space group Pm-3m (No. 221); the cell edges are 4.990, 4.990 and 4.990 Å and the angles 90.00°, 90.00° and 90.00°. Symmetry generates all atoms from In at (0.000, 0.000, 0.000), Sb at (0.500, 0.500, 0.500) and Pt at (0.000, 0.500, 0.500).


The following is a DFT calculation (PBE-GGA) of Hf3MnFe after structural relaxation.

The value obtained for the formation energy from the elements is 4.06 eV/f.u. For the total DFT energy (no corrections), the calculation gives -8.69 eV/atom. The crystal system is cubic.

The structure belongs to space group Pm-3m (No. 221); the cell edges are 4.678, 4.678 and 4.678 Å and the angles 90.00°, 90.00° and 90.00°. Symmetry generates all atoms from Hf at (0.000, 0.000, 0.500), Mn at (0.000, 0.000, 0.000) and Fe at (0.500, 0.500, 0.500).


The following is a DFT calculation (PBE-GGA) of BaNaTl2Zn after structural relaxation.

The value obtained for the formation energy from the elements is -0.33 eV/f.u. For the total DFT energy (no corrections), the calculation gives -1.92 eV/atom. The crystal system is tetragonal.

The structure belongs to space group P4/mmm (No. 123); the cell edges are 5.467, 5.467 and 5.486 Å and the angles 90.00°, 90.00° and 90.00°. Symmetry generates all atoms from Ba at (0.000, 0.000, 0.000), Na at (0.500, 0.500, 0.000), Tl at (0.000, 0.500, 0.500) and Zn at (0.500, 0.500, 0.500).